An optimized crystal structure of V6Ga3Co. Source: the Alexandria database, functional PBE-GGA.

N(E_F) (states/eV/f.u.): 10.97
SG: P2_1/c, No. 14
ΔE_f (eV per atom): 0.075
Uncorrected energy (eV/atom): -7.0150

Lattice parameters (Å, degrees): 4.548 7.460 8.398 90.00 90.51 90.00
Fractional positions:
V (0.550, 0.166, 0.943)
V (0.537, 0.177, 0.561)
V (0.663, 0.420, 0.265)
V (0.337, 0.580, 0.735)
V (0.463, 0.823, 0.439)
V (0.450, 0.834, 0.057)
V (0.050, 0.334, 0.443)
V (0.037, 0.323, 0.061)
V (0.163, 0.080, 0.765)
V (0.837, 0.920, 0.235)
V (0.963, 0.677, 0.939)
V (0.950, 0.666, 0.557)
Ga (0.642, 0.886, 0.751)
Ga (0.500, 0.500, 0.000)
Ga (0.358, 0.114, 0.249)
Ga (0.142, 0.614, 0.251)
Ga (0.000, 0.000, 0.500)
Ga (0.858, 0.386, 0.749)
Co (0.500, 0.500, 0.500)
Co (0.000, 0.000, 0.000)

An optimized crystal structure of V3Ga4Co. Source: the Alexandria database, functional PBE-GGA.

N(E_F) (states/eV/f.u.): 6.27
SG: Pmn2_1, No. 31
ΔE_f (eV per atom): -0.088
Uncorrected energy (eV/atom): -5.9093

Lattice parameters (Å, degrees): 4.774 5.331 8.828 90.00 90.00 90.00
Fractional positions:
V (0.831, 0.841, 0.000)
V (0.040, 0.618, 0.260)
V (0.540, 0.382, 0.240)
V (0.331, 0.159, 0.500)
V (0.540, 0.382, 0.760)
V (0.040, 0.618, 0.740)
Ga (0.319, 0.610, 0.000)
Ga (0.373, 0.111, 0.000)
Ga (0.034, 0.131, 0.230)
Ga (0.534, 0.869, 0.270)
Ga (0.873, 0.889, 0.500)
Ga (0.819, 0.390, 0.500)
Ga (0.534, 0.869, 0.730)
Ga (0.034, 0.131, 0.770)
Co (0.844, 0.370, 0.000)
Co (0.344, 0.630, 0.500)

An optimized crystal structure of V8Ga2Co3. Source: the Alexandria database, functional PBE-GGA.

N(E_F) (states/eV/f.u.): 16.62
SG: Cmmm, No. 65
ΔE_f (eV per atom): 0.211
Uncorrected energy (eV/atom): -7.5057

Lattice parameters (Å, degrees): 4.212 5.650 8.016 110.63 90.00 90.00
Fractional positions:
V (0.000, 0.671, 0.342)
V (0.000, 0.329, 0.658)
V (0.000, 0.121, 0.242)
V (0.000, 0.879, 0.758)
V (0.500, 0.600, 0.806)
V (0.500, 0.206, 0.806)
V (0.500, 0.794, 0.194)
V (0.500, 0.400, 0.194)
Ga (0.500, 0.232, 0.464)
Ga (0.500, 0.768, 0.536)
Co (0.500, 0.000, 0.000)
Co (0.000, 0.293, 0.000)
Co (0.000, 0.707, 0.000)

An optimized crystal structure of VGaCo6. Source: the Alexandria database, functional PBE-GGA.

N(E_F) (states/eV/f.u.): 10.46
SG: C2/m, No. 12
ΔE_f (eV per atom): 0.276
Uncorrected energy (eV/atom): -6.5718

Lattice parameters (Å, degrees): 4.294 4.294 6.414 75.35 75.35 66.29
Fractional positions:
V (0.500, 0.500, 0.500)
Ga (0.000, 0.000, 0.000)
Co (0.053, 0.533, 0.306)
Co (0.533, 0.053, 0.306)
Co (0.467, 0.947, 0.694)
Co (0.947, 0.467, 0.694)
Co (0.360, 0.360, 0.937)
Co (0.640, 0.640, 0.063)